DFT (PBE-GGA) results for a relaxed NdGdInRu crystal.

Calculated values
- calculated total energy (eV per atom) = -7.96
- D(E_F) (states/eV per cell) = 2.501
- DFT formation energy (meV per atom) = -247

a = 5.171 Å, b = 5.171 Å, c = 5.171 Å
α = 60.00°, β = 60.00°, γ = 60.00°
Fractional positions:
Ru 0.750 0.750 0.750
Gd 0.000 0.000 0.000
Nd 0.500 0.500 0.500
In 0.250 0.250 0.250